First-principles (PBE) data for a relaxed structure of CrAg3Br2Cl6, as listed in the Alexandria database.

E: -3.275 eV/atom
Calculated volume: 24.8 Å³/atom
Magnetization: 1.39 μB/f.u.
Theoretical density: 4.17 Mg/m³
ΔE_f (raw): -6.70 eV per formula unit
N(E_F): 17.68 states/eV per cell

Cell and atoms, written as CIF:
```
data_CrAg3Br2Cl6
_space_group_name_H-M_alt 'C 1 2/m 1'
_space_group_IT_number 12
_space_group_name_Hall '-C 2y'
_cell_length_a 13.6920
_cell_length_b 7.4034
_cell_length_c 5.8895
_cell_angle_alpha 90.00
_cell_angle_beta 93.02
_cell_angle_gamma 90.00
loop_
_atom_site_label
_atom_site_fract_x
_atom_site_fract_y
_atom_site_fract_z
Cr1 0.0000 0.0000 0.0000
Ag1 0.0000 0.5000 0.5000
Ag2 0.2500 0.2500 0.0000
Br1 0.1781 0.5000 0.7211
Cl1 0.0765 0.2255 0.2259
Cl2 0.1320 0.0000 0.7712
```

---

First-principles (PBE) data for a relaxed structure of BeTlRh2, as listed in the Alexandria database.

E: -4.931 eV/atom
Calculated volume: 15.2 Å³/atom
E_form: 0.268 eV per atom
Magnetization: 0.01 μB/f.u.
Excess energy over the best structure of this formula in the dataset: 405.1 meV/atom
Theoretical density: 11.45 Mg/m³
N(E_F): 23.87 states/eV per cell

Cell and atoms, written as CIF:
```
data_BeTlRh2
_space_group_name_H-M_alt 'F -4 3 m'
_space_group_IT_number 216
_space_group_name_Hall 'F -4 2 3'
_cell_length_a 6.2416
_cell_length_b 6.2416
_cell_length_c 6.2416
_cell_angle_alpha 90.00
_cell_angle_beta 90.00
_cell_angle_gamma 90.00
loop_
_atom_site_label
_atom_site_fract_x
_atom_site_fract_y
_atom_site_fract_z
Be1 0.0000 0.0000 0.0000
Tl1 0.2500 0.2500 0.2500
Rh1 0.0000 0.0000 0.5000
Rh2 0.2500 0.2500 0.7500
```

---

First-principles (PBE) data for a relaxed structure of Ca2Cu, as listed in the Alexandria database.

E: -2.624 eV/atom
Calculated volume: 27.8 Å³/atom
E_form: 0.076 eV per atom
Magnetization: 0.00 μB/f.u.
Theoretical density: 2.86 Mg/m³
N(E_F): 9.37 states/eV per cell

Cell and atoms, written as CIF:
```
data_Ca2Cu
_space_group_name_H-M_alt 'C m m m'
_space_group_IT_number 65
_space_group_name_Hall '-C 2 2'
_cell_length_a 5.5167
_cell_length_b 15.2472
_cell_length_c 3.9721
_cell_angle_alpha 90.00
_cell_angle_beta 90.00
_cell_angle_gamma 90.00
loop_
_atom_site_label
_atom_site_fract_x
_atom_site_fract_y
_atom_site_fract_z
Ca1 0.0000 0.0000 0.0000
Ca2 0.0000 0.1896 0.5000
Ca3 0.0000 0.5000 0.5000
Cu1 0.0000 0.3498 0.0000
```

---

First-principles (PBE) data for a relaxed structure of SrMoC3, as listed in the Alexandria database.

E: -7.044 eV/atom
Calculated volume: 14.5 Å³/atom
E_form: 0.993 eV per atom
Magnetization: 0.00 μB/f.u.
Excess energy over the best structure of this formula in the dataset: 0.0 meV/atom
Theoretical density: 5.04 Mg/m³
N(E_F): 3.95 states/eV per cell

Cell and atoms, written as CIF:
```
data_SrMoC3
_space_group_name_H-M_alt 'P m -3 m'
_space_group_IT_number 221
_space_group_name_Hall '-P 4 2 3'
_cell_length_a 4.1663
_cell_length_b 4.1663
_cell_length_c 4.1663
_cell_angle_alpha 90.00
_cell_angle_beta 90.00
_cell_angle_gamma 90.00
loop_
_atom_site_label
_atom_site_fract_x
_atom_site_fract_y
_atom_site_fract_z
Sr1 0.0000 0.0000 0.0000
Mo1 0.5000 0.5000 0.5000
C1 0.0000 0.5000 0.5000
```

---

First-principles (PBE) data for a relaxed structure of FeCoSiGe, as listed in the Alexandria database.

E: -6.586 eV/atom
Calculated volume: 11.5 Å³/atom
Magnetization: 1.13 μB/f.u.
Theoretical density: 7.79 Mg/m³
ΔE_f (raw): -0.73 eV per formula unit
N(E_F): 6.25 states/eV per cell

Cell and atoms, written as CIF:
```
data_FeCoSiGe
_space_group_name_H-M_alt 'F -4 3 m'
_space_group_IT_number 216
_space_group_name_Hall 'F -4 2 3'
_cell_length_a 5.6845
_cell_length_b 5.6845
_cell_length_c 5.6845
_cell_angle_alpha 90.00
_cell_angle_beta 90.00
_cell_angle_gamma 90.00
loop_
_atom_site_label
_atom_site_fract_x
_atom_site_fract_y
_atom_site_fract_z
Fe1 0.0000 0.0000 0.0000
Co1 0.0000 0.0000 0.5000
Si1 0.2500 0.2500 0.7500
Ge1 0.2500 0.2500 0.2500
```

---

First-principles (PBE) data for a relaxed structure of Nd2ErPa2Co5, as listed in the Alexandria database.

E: -6.957 eV/atom
Calculated volume: 19.6 Å³/atom
E_form: -0.095 eV per atom
Magnetization: 0.00 μB/f.u.
Theoretical density: 10.25 Mg/m³
N(E_F): 11.52 states/eV per cell

Cell and atoms, written as CIF:
```
data_Nd2ErPa2Co5
_space_group_name_H-M_alt 'P 4/m b m'
_space_group_IT_number 127
_space_group_name_Hall '-P 4 2ab'
_cell_length_a 10.6380
_cell_length_b 10.6380
_cell_length_c 3.4722
_cell_angle_alpha 90.00
_cell_angle_beta 90.00
_cell_angle_gamma 90.00
loop_
_atom_site_label
_atom_site_fract_x
_atom_site_fract_y
_atom_site_fract_z
Nd1 0.1736 0.3264 0.0000
Er1 0.0000 0.0000 0.0000
Pa1 0.1342 0.6342 0.0000
Co1 0.0000 0.5000 0.5000
Co2 0.0434 0.7781 0.5000
```

---

First-principles (PBE) data for a relaxed structure of EuScPd2, as listed in the Alexandria database.

E: -7.445 eV/atom
Calculated volume: 22.6 Å³/atom
E_form: -0.697 eV per atom
Magnetization: 7.04 μB/f.u.
Theoretical density: 7.51 Mg/m³
N(E_F): 37.51 states/eV per cell

Cell and atoms, written as CIF:
```
data_EuScPd2
_space_group_name_H-M_alt 'R -3 m'
_space_group_IT_number 166
_space_group_name_Hall '-R 3 2"'
_cell_length_a 4.5893
_cell_length_b 4.5893
_cell_length_c 14.8927
_cell_angle_alpha 90.00
_cell_angle_beta 90.00
_cell_angle_gamma 120.00
loop_
_atom_site_label
_atom_site_fract_x
_atom_site_fract_y
_atom_site_fract_z
Eu1 0.0000 0.0000 0.0000
Sc1 0.0000 0.0000 0.5000
Pd1 0.0000 0.0000 0.2149
```

---

First-principles (PBE) data for a relaxed structure of PmNiAg, as listed in the Alexandria database.

E: -4.587 eV/atom
Calculated volume: 22.5 Å³/atom
E_form: -0.126 eV per atom
Magnetization: 0.00 μB/f.u.
Excess energy over the best structure of this formula in the dataset: 203.3 meV/atom
Theoretical density: 7.67 Mg/m³
N(E_F): 6.99 states/eV per cell

Cell and atoms, written as CIF:
```
data_PmNiAg
_space_group_name_H-M_alt 'F -4 3 m'
_space_group_IT_number 216
_space_group_name_Hall 'F -4 2 3'
_cell_length_a 6.4627
_cell_length_b 6.4627
_cell_length_c 6.4627
_cell_angle_alpha 90.00
_cell_angle_beta 90.00
_cell_angle_gamma 90.00
loop_
_atom_site_label
_atom_site_fract_x
_atom_site_fract_y
_atom_site_fract_z
Pm1 0.0000 0.0000 0.0000
Ni1 0.2500 0.2500 0.7500
Ag1 0.0000 0.0000 0.5000
```

---

First-principles (PBE) data for a relaxed structure of Tb3Zn2Hg4, as listed in the Alexandria database.

E: -2.371 eV/atom
Calculated volume: 23.1 Å³/atom
E_form: -0.411 eV per atom
Magnetization: 0.00 μB/f.u.
Theoretical density: 11.25 Mg/m³
N(E_F): 10.34 states/eV per cell

Cell and atoms, written as CIF:
```
data_Tb3Zn2Hg4
_space_group_name_H-M_alt 'C 1 2/m 1'
_space_group_IT_number 12
_space_group_name_Hall '-C 2y'
_cell_length_a 10.8549
_cell_length_b 4.7972
_cell_length_c 8.9528
_cell_angle_alpha 90.00
_cell_angle_beta 116.80
_cell_angle_gamma 90.00
loop_
_atom_site_label
_atom_site_fract_x
_atom_site_fract_y
_atom_site_fract_z
Tb1 0.0000 0.0000 0.0000
Tb2 0.1631 0.5000 0.6676
Zn1 0.1121 0.5000 0.2842
Hg1 0.0685 0.0000 0.3920
Hg2 0.2104 0.5000 0.0575
```

---

First-principles (PBE) data for a relaxed structure of NaThNiS3, as listed in the Alexandria database.

E: -5.805 eV/atom
Calculated volume: 23.4 Å³/atom
Magnetization: 0.11 μB/f.u.
Theoretical density: 4.85 Mg/m³
ΔE_f (raw): -7.93 eV per formula unit
N(E_F): 6.94 states/eV per cell

Cell and atoms, written as CIF:
```
data_NaThNiS3
_space_group_name_H-M_alt 'P 1 21/m 1'
_space_group_IT_number 11
_space_group_name_Hall '-P 2yb'
_cell_length_a 8.2802
_cell_length_b 3.9814
_cell_length_c 8.7015
_cell_angle_alpha 90.00
_cell_angle_beta 102.11
_cell_angle_gamma 90.00
loop_
_atom_site_label
_atom_site_fract_x
_atom_site_fract_y
_atom_site_fract_z
Na1 0.1801 0.2500 0.2214
Th1 0.3166 0.7500 0.8220
Ni1 0.0902 0.2500 0.5694
S1 0.0997 0.2500 0.8515
S2 0.1895 0.7500 0.5025
S3 0.4361 0.7500 0.1599
```

---

First-principles (PBE) data for a relaxed structure of AcDy2Er6, as listed in the Alexandria database.

E: -4.438 eV/atom
Calculated volume: 32.7 Å³/atom
E_form: 0.083 eV per atom
Magnetization: 1.49 μB/f.u.
Excess energy over the best structure of this formula in the dataset: 0.0 meV/atom
Theoretical density: 8.77 Mg/m³
N(E_F): 15.47 states/eV per cell

Cell and atoms, written as CIF:
```
data_AcDy2Er6
_space_group_name_H-M_alt 'P -6 m 2'
_space_group_IT_number 187
_space_group_name_Hall 'P -6 2'
_cell_length_a 3.6069
_cell_length_b 3.6069
_cell_length_c 26.1563
_cell_angle_alpha 90.00
_cell_angle_beta 90.00
_cell_angle_gamma 120.00
loop_
_atom_site_label
_atom_site_fract_x
_atom_site_fract_y
_atom_site_fract_z
Ac1 0.0000 0.0000 0.0000
Dy1 0.3333 0.6667 0.3310
Er1 0.0000 0.0000 0.2233
Er2 0.0000 0.0000 0.4363
Er3 0.3333 0.6667 0.1182
```

---

First-principles (PBE) data for a relaxed structure of SmHo14Th, as listed in the Alexandria database.

E: -4.750 eV/atom
Calculated volume: 31.3 Å³/atom
E_form: 0.014 eV per atom
Magnetization: 0.00 μB/f.u.
Theoretical density: 8.93 Mg/m³
N(E_F): 40.28 states/eV per cell

Cell and atoms, written as CIF:
```
data_SmHo14Th
_space_group_name_H-M_alt 'A m m 2'
_space_group_IT_number 38
_space_group_name_Hall 'A 2 -2'
_cell_length_a 11.4479
_cell_length_b 7.1111
_cell_length_c 12.2891
_cell_angle_alpha 90.00
_cell_angle_beta 90.00
_cell_angle_gamma 90.00
loop_
_atom_site_label
_atom_site_fract_x
_atom_site_fract_y
_atom_site_fract_z
Sm1 0.0000 0.0000 0.0000
Ho1 0.0000 0.2500 0.2498
Ho2 0.2504 0.0000 0.6648
Ho3 0.2523 0.0000 0.1670
Ho4 0.2519 0.2476 0.4173
Ho5 0.5000 0.0000 0.3329
Ho6 0.5000 0.0000 0.8331
Ho7 0.5000 0.2495 0.0835
Th1 0.0000 0.0000 0.4988
```

---

Among the records above, which one has the highest magnetization? EuScPd2